VASP calculation (PBE) on TcNiS2 after structural relaxation.

Summary:
Excess energy over the best structure of this formula in the dataset = 0.0389 eV per atom
Final energy = -6.44 eV/atom
Calculated density = 6.22 g/cm³
DOS(E_F) = 3.36 states/eV per cell
Raw formation energy = -0.341 eV per atom

Structure (extended XYZ):
```
8
Lattice="3.073 0.001 -0.001 0.687 5.591 0.002 0.333 0.872 6.863" Properties=species:S:1:pos:R:3 pbc="T T T"
Tc 2.303 1.441 4.925
Tc 1.333 5.189 6.555
Ni 1.133 2.076 1.302
Ni 1.070 4.223 2.485
S 2.598 2.596 2.942
S 2.455 5.412 1.159
S 2.891 3.294 6.442
S 1.413 5.487 4.258
```